(1)
Material: La2ZnHAu
Method: DFT, PBE
State: optimized geometry

The structure in POSCAR format:
```
La2ZnHAu
1.0
5.120 0.000 0.000
0.000 5.120 0.000
0.000 0.000 4.106
La Zn H Au
2 1 1 1
Cartesian
0.000 2.560 0.000
2.560 0.000 0.000
0.000 0.000 2.053
0.000 0.000 0.000
2.560 2.560 2.053
```

Output
Symmetry: P4/mmm
E above lowest polymorph, meV/atom: 0



(2)
Material: MgCdF2
Method: DFT, PBE
State: optimized geometry

The structure in POSCAR format:
```
MgCdF2
1.0
1.539 0.888 8.727
-1.539 0.888 8.727
0.000 -1.777 8.727
Mg Cd F
1 1 2
Cartesian
0.000 0.000 0.000
0.000 0.000 13.090
0.000 0.000 9.682
0.000 0.000 16.499
```

Output
Symmetry: R-3m
E above lowest polymorph, meV/atom: 0



(3)
Material: YMoN3
Method: DFT, PBE
State: optimized geometry

The structure in POSCAR format:
```
YMoN3
1.0
3.208 0.000 0.000
-0.408 4.326 0.000
-0.953 -0.449 8.512
Y Mo N
2 2 6
Cartesian
0.000 0.000 0.000
-0.561 1.607 5.836
0.865 3.619 3.719
2.559 1.834 2.595
0.102 2.089 8.428
1.369 1.698 0.908
1.057 1.480 4.029
0.934 0.086 6.691
1.004 3.519 5.772
2.499 3.972 2.429
```

Output
Symmetry: P1



(4)
Material: Mn3InC
Method: DFT, PBE
State: optimized geometry

The structure in POSCAR format:
```
Mn3InC
1.0
3.949 0.000 0.000
0.000 3.949 0.000
0.000 0.000 3.949
Mn In C
3 1 1
Cartesian
0.000 0.000 1.974
0.000 1.974 0.000
1.974 0.000 0.000
1.974 1.974 1.974
0.000 0.000 0.000
```

Output
Symmetry: Pm-3m
Energy of formation, meV/atom: 30
E above lowest polymorph, meV/atom: 0



Number 1: total DFT energy (no corrections) -4.03 eV/atom. Number 2: total DFT energy (no corrections) -4.07 eV/atom. Number 3: total DFT energy (no corrections) -9.04 eV/atom. Number 4: total DFT energy (no corrections) -7.86 eV/atom.